# Pa2Al3Au5 | the Alexandria database | PBE | optimized geometry
data_Pa2Al3Au5
_space_group_name_H-M_alt 'P 1'
_space_group_IT_number 1
_cell_length_a 4.524
_cell_length_b 6.974
_cell_length_c 12.722
_cell_angle_alpha 90.00
_cell_angle_beta 100.24
_cell_angle_gamma 90.00
loop_
_space_group_symop_operation_xyz
'x,y,z'
loop_
_atom_site_label
_atom_site_type_symbol
_atom_site_fract_x
_atom_site_fract_y
_atom_site_fract_z
Pa1 Pa 0.486 0.722 0.973
Pa2 Pa 0.174 0.753 0.348
Pa3 Pa 0.826 0.253 0.652
Pa4 Pa 0.514 0.222 0.027
Al1 Al 0.777 0.756 0.554
Al2 Al 0.608 0.525 0.215
Al3 Al 0.050 0.924 0.101
Al4 Al 0.223 0.256 0.446
Al5 Al 0.950 0.424 0.899
Al6 Al 0.392 0.025 0.785
Au1 Au 0.396 0.420 0.793
Au2 Au 0.289 0.547 0.578
Au3 Au 0.711 0.047 0.422
Au4 Au 0.118 0.213 0.237
Au5 Au 0.290 0.968 0.581
Au6 Au 0.948 0.037 0.896
Au7 Au 0.710 0.468 0.419
Au8 Au 0.882 0.713 0.763
Au9 Au 0.052 0.537 0.104
Au10 Au 0.604 0.920 0.207
# Offset from the most stable computed form, eV/atom: 0.000
# Magnetic moment, μB per cell: 0.67
# Crystal system: orthorhombic
# Final energy, eV/cell: -101.57
# Energy of formation from the pure elements, meV/atom: -418